(1)
KPt2Cl: relaxed, PBEsol.

Geometry as POSCAR:
```
KPt2Cl
1.0
3.5895 0.0000 0.0000
0.0000 5.7057 0.0000
0.0000 0.0000 9.0556
K Pt Cl
2 4 2
Cartesian
0.0000 0.0000 0.0000
1.7948 2.8528 4.5278
0.0000 0.0000 4.2585
0.0000 2.8528 1.4366
1.7948 0.0000 5.9643
1.7948 2.8528 8.7863
0.0000 2.8528 7.2560
1.7948 0.0000 2.7282
```

Computed properties:
The total energy is -33.80 eV for the cell shown. For the uncorrected formation energy, the calculation gives 0.17 eV/f.u.

---

(2)
K2PtCl: relaxed, PBEsol.

Geometry as POSCAR:
```
K2PtCl
1.0
7.2931 0.0000 0.0000
0.0000 7.2931 0.0000
0.0000 0.0000 7.2931
K Pt Cl
8 4 4
Cartesian
0.0000 0.0000 0.0000
0.0000 3.6466 3.6466
1.8233 1.8233 1.8233
1.8233 5.4698 5.4698
3.6466 0.0000 3.6466
3.6466 3.6466 0.0000
5.4698 1.8233 5.4698
5.4698 5.4698 1.8233
1.8233 1.8233 5.4698
1.8233 5.4698 1.8233
5.4698 1.8233 1.8233
5.4698 5.4698 5.4698
0.0000 0.0000 3.6466
0.0000 3.6466 0.0000
3.6466 0.0000 0.0000
3.6466 3.6466 3.6466
```

Computed properties:
The total energy is -46.70 eV for the cell shown. For the uncorrected formation energy, the calculation gives -0.44 eV/f.u.

---

(3)
KRbCl2: relaxed, PBEsol.

Geometry as POSCAR:
```
KRbCl2
1.0
5.4005 0.0000 0.0000
0.0000 5.4005 0.0000
0.0000 0.0000 3.8185
K Rb Cl
1 1 2
Cartesian
0.0000 0.0000 0.0000
2.7003 2.7003 0.0000
0.0000 2.7003 1.9093
2.7003 0.0000 1.9093
```

Computed properties:
As for the energy relative to the lowest polymorph listed for this composition: 4.6 kJ/mol of atoms. The total energy is -13.71 eV for the cell shown. For the uncorrected formation energy, the calculation gives -7.54 eV/f.u.

---

(4)
KRbCl2: relaxed, PBEsol.

Geometry as POSCAR:
```
KRbCl2
1.0
4.5116 0.0000 0.0000
-2.2558 3.9072 0.0000
0.0000 0.0000 22.1566
K Rb Cl
3 3 6
Cartesian
0.0000 0.0000 0.0000
0.0000 2.6048 14.7711
2.2558 1.3024 7.3855
0.0000 0.0000 11.0783
0.0000 2.6048 3.6928
2.2558 1.3024 18.4638
0.0000 0.0000 5.6284
0.0000 0.0000 16.5283
0.0000 2.6048 9.1427
0.0000 2.6048 20.3994
2.2558 1.3024 1.7572
2.2558 1.3024 13.0139
```

Computed properties:
As for the energy relative to the lowest polymorph listed for this composition: 0.0 kJ/mol of atoms. The total energy is -41.71 eV for the cell shown. For the uncorrected formation energy, the calculation gives -7.73 eV/f.u.

---

(5)
KRbS2Cl: relaxed, PBEsol.

Geometry as POSCAR:
```
KRbS2Cl
1.0
5.9465 0.0000 0.0000
0.0000 5.9465 0.0000
0.0000 0.0000 6.0037
K Rb S Cl
1 1 2 1
Cartesian
0.0000 0.0000 0.0000
2.9732 2.9732 3.0019
0.0000 2.9732 3.0019
2.9732 0.0000 3.0019
2.9732 2.9732 0.0000
```

Computed properties:
The total energy is -13.17 eV for the cell shown. For the uncorrected formation energy, the calculation gives -0.24 eV/f.u.

---

(6)
K2RbSbCl6: relaxed, PBEsol.

Geometry as POSCAR:
```
K2RbSbCl6
1.0
0.0000 5.6439 5.6439
5.6439 0.0000 5.6439
5.6439 5.6439 0.0000
K Rb Sb Cl
2 1 1 6
Cartesian
2.8220 2.8220 2.8220
8.4659 8.4659 8.4659
0.0000 0.0000 0.0000
5.6439 5.6439 5.6439
5.6439 5.6439 3.0212
5.6439 3.0212 5.6439
8.2666 5.6439 5.6439
3.0212 5.6439 5.6439
5.6439 8.2666 5.6439
5.6439 5.6439 8.2666
```

Computed properties:
The total energy is -34.22 eV for the cell shown. For the uncorrected formation energy, the calculation gives -14.32 eV/f.u.

---

(7)
KRb2ScCl6: relaxed, PBEsol.

Geometry as POSCAR:
```
KRb2ScCl6
1.0
0.0000 5.3689 5.3689
5.3689 0.0000 5.3689
5.3689 5.3689 0.0000
K Rb Sc Cl
1 2 1 6
Cartesian
0.0000 0.0000 0.0000
2.6844 2.6844 2.6844
8.0533 8.0533 8.0533
5.3689 5.3689 5.3689
5.3689 5.3689 2.9073
5.3689 2.9073 5.3689
7.8305 5.3689 5.3689
2.9073 5.3689 5.3689
5.3689 7.8305 5.3689
5.3689 5.3689 7.8305
```

Computed properties:
The total energy is -42.18 eV for the cell shown. For the uncorrected formation energy, the calculation gives -20.35 eV/f.u.

---

(8)
KRb2SmCl6: relaxed, PBEsol.

Geometry as POSCAR:
```
KRb2SmCl6
1.0
0.0000 5.5787 5.5787
5.5787 0.0000 5.5787
5.5787 5.5787 0.0000
K Rb Sm Cl
1 2 1 6
Cartesian
0.0000 0.0000 0.0000
2.7893 2.7893 2.7893
8.3680 8.3680 8.3680
5.5787 5.5787 5.5787
5.5787 5.5787 2.9230
5.5787 2.9230 5.5787
8.2343 5.5787 5.5787
2.9230 5.5787 5.5787
5.5787 8.2343 5.5787
5.5787 5.5787 8.2343
```

Computed properties:
The total energy is -40.92 eV for the cell shown. For the uncorrected formation energy, the calculation gives -20.59 eV/f.u.

---

(9)
K2RbTbCl6: relaxed, PBEsol.

Geometry as POSCAR:
```
K2RbTbCl6
1.0
0.0000 5.6375 5.6375
5.6375 0.0000 5.6375
5.6375 5.6375 0.0000
K Rb Tb Cl
2 1 1 6
Cartesian
2.8187 2.8187 2.8187
8.4562 8.4562 8.4562
0.0000 0.0000 0.0000
5.6375 5.6375 5.6375
5.6375 5.6375 3.0292
5.6375 3.0292 5.6375
8.2458 5.6375 5.6375
3.0292 5.6375 5.6375
5.6375 8.2458 5.6375
5.6375 5.6375 8.2458
```

Computed properties:
The total energy is -40.44 eV for the cell shown. For the uncorrected formation energy, the calculation gives -20.09 eV/f.u.

---

(10)
K2RbTmCl6: relaxed, PBEsol.

Geometry as POSCAR:
```
K2RbTmCl6
1.0
0.0000 5.5850 5.5850
5.5850 0.0000 5.5850
5.5850 5.5850 0.0000
K Rb Tm Cl
2 1 1 6
Cartesian
2.7925 2.7925 2.7925
8.3775 8.3775 8.3775
0.0000 0.0000 0.0000
5.5850 5.5850 5.5850
5.5850 5.5850 3.0240
5.5850 3.0240 5.5850
8.1460 5.5850 5.5850
3.0240 5.5850 5.5850
5.5850 8.1460 5.5850
5.5850 5.5850 8.1460
```

Computed properties:
The total energy is -40.46 eV for the cell shown. For the uncorrected formation energy, the calculation gives -20.22 eV/f.u.

---

(11)
KRe2Cl: relaxed, PBEsol.

Geometry as POSCAR:
```
KRe2Cl
1.0
3.0653 0.0000 0.0000
0.0000 3.0962 0.0000
0.0000 0.0000 16.7459
K Re Cl
2 4 2
Cartesian
0.0000 0.0000 0.0000
0.0000 1.5481 8.3729
0.0000 0.0000 4.1614
0.0000 1.5481 12.5343
1.5327 0.0000 11.2586
1.5327 1.5481 2.8857
1.5327 0.0000 6.3196
1.5327 1.5481 14.6925
```

Computed properties:
The total energy is -58.14 eV for the cell shown. For the uncorrected formation energy, the calculation gives 0.74 eV/f.u.

---

(12)
K2ReCl: relaxed, PBEsol.

Geometry as POSCAR:
```
K2ReCl
1.0
8.5375 0.0000 0.0000
0.0000 8.5586 0.0000
0.0000 0.0000 2.8389
K Re Cl
4 2 2
Cartesian
2.1344 2.1396 0.0000
2.1344 6.4189 0.0000
6.4031 2.1396 0.0000
6.4031 6.4189 0.0000
0.0000 0.0000 1.4194
4.2688 4.2793 1.4194
0.0000 4.2793 1.4194
4.2688 0.0000 1.4194
```

Computed properties:
The total energy is -29.31 eV for the cell shown. For the uncorrected formation energy, the calculation gives 2.95 eV/f.u.

---

- Which formula does entry 4 have?
  KRbCl2